# 1
## Ce2TlTe (PBE)

Data for an optimized crystal structure of Ce2TlTe.

```
Ce2TlTe
1.0
3.736 0.000 0.000
0.000 3.736 0.000
0.000 0.000 8.333
Ce Te Tl
2 1 1
Cartesian
0.000 0.000 6.363 Ce
0.000 0.000 1.969 Ce
1.868 1.868 0.000 Te
1.868 1.868 4.166 Tl
```

## Properties
* uncorrected formation energy: -67 kJ/mol of atoms
* polymorph energy (0 for the lowest one): 0.0000 eV per atom

***

# 2
## MnCd2Ru (PBE)

Data for an optimized crystal structure of MnCd2Ru.

```
MnCd2Ru
1.0
0.000 3.250 3.250
3.250 0.000 3.250
3.250 3.250 0.000
Mn Ru Cd
1 1 2
Cartesian
0.000 0.000 0.000 Mn
3.250 3.250 3.250 Ru
4.875 4.875 4.875 Cd
1.625 1.625 1.625 Cd
```

## Properties
* formation energy from the elements: 0.333 eV per atom
* polymorph energy (0 for the lowest one): 0.1742 eV per atom

***

# 3
## Ho3Sc3CuTc2 (PBE)

Data for an optimized crystal structure of Ho3Sc3CuTc2.

```
Ho3Sc3CuTc2
1.0
3.584 0.000 0.000
0.000 7.910 0.000
0.000 -3.955 6.850
Cu Sc Ho Tc
1 3 3 2
Cartesian
0.000 0.000 0.000 Cu
0.000 3.174 0.000 Sc
0.000 2.368 4.102 Sc
0.000 -1.587 2.749 Sc
1.792 5.756 0.000 Ho
1.792 1.077 1.865 Ho
1.792 -2.878 4.985 Ho
1.792 0.000 4.567 Tc
1.792 3.955 2.283 Tc
```

## Properties
* formation energy from the elements: -0.046 eV per atom